VASP calculation (PBE) on an optimized crystal structure of KY3Fe.

It has space group Pm-3m (No. 221), with a = 5.4154 Å, b = 5.4154 Å, c = 5.4154 Å, α = 90.00°, β = 90.00° and γ = 90.00°. The asymmetric unit holds K at (0.0000, 0.0000, 0.0000), Y at (0.0000, 0.5000, 0.5000) and Fe at (0.5000, 0.5000, 0.5000).

The value obtained for the total DFT energy (no corrections) is -5.54 eV/atom. For the formation energy, the calculation gives 121 kJ/mol of formula units. The volume is 31.8 Å³/atom. For the energy above the lowest structure with this stoichiometry, the calculation gives 0 meV/atom.

VASP calculation (PBE) on an optimized crystal structure of PrZn2Ru.

It has space group P4/mmm (No. 123), with a = 3.3761 Å, b = 3.3761 Å, c = 6.5621 Å, α = 90.00°, β = 90.00° and γ = 90.00°. The asymmetric unit holds Pr at (0.0000, 0.0000, 0.0000), Zn at (0.5000, 0.5000, 0.3127) and Ru at (0.0000, 0.0000, 0.5000).

The value obtained for the total DFT energy (no corrections) is -4.24 eV/atom. For the formation energy, the calculation gives -33 kJ/mol of formula units. The volume is 18.7 Å³/atom.

VASP calculation (PBE) on an optimized crystal structure of Be2SbBr.

It has space group Cmm2 (No. 35), with a = 3.1651 Å, b = 5.9512 Å, c = 9.6068 Å, α = 90.00°, β = 90.00° and γ = 90.00°. The asymmetric unit holds Be at (0.0000, 0.0000, 0.0000), Be at (0.0000, 0.5000, 0.1879), Sb at (0.0000, 0.0000, 0.4023) and Br at (0.0000, 0.5000, 0.8419).

The value obtained for the total DFT energy (no corrections) is -2.91 eV/atom. The volume is 22.6 Å³/atom. For the energy above the lowest structure with this stoichiometry, the calculation gives 445 meV/atom. For the raw formation energy, the calculation gives 39.1 kJ per mole of atoms.

Q: total DFT energy (no corrections) of number 3 (Be2SbBr)?
A: -2.91 eV/atom